1.
A plane-wave DFT calculation with PBE+U was carried out for a relaxed structure of MnCoPO2.

Lattice parameters (Å, degrees): 3.6430 3.6430 5.2429 90.00 90.00 90.00
Last column: nearest neighbours and their distance in Å.
Sites, in units of the cell vectors:
P 0.0000 0.0000 0.5000  4 Co 2.58, 2 Mn 2.62
Mn 0.0000 0.0000 0.0000  4 O 1.82
Co 0.5000 0.5000 0.5000  4 P 2.58
O 0.0000 0.5000 0.0000  2 Mn 1.82
O 0.5000 0.0000 0.0000  2 Mn 1.82

Results
excess energy over the best structure of this formula in the dataset = 0.043 eV/atom
mass density = 4.220 g/cm³
N(E_F) = 0.661 states/eV/atom
symmetry = P4/mmm
VASP energy = -5.715 eV per atom
total magnetization = 4.95 μB/f.u.

***

2.
A plane-wave DFT calculation with PBE+U was carried out for a relaxed structure of Mn5CoP6O24.

Lattice parameters (Å, degrees): 8.5838 8.5838 8.5838 59.81 59.81 59.81
Last column: nearest neighbours and their distance in Å.
Sites, in units of the cell vectors:
Mn 0.0024 0.0024 0.0024  6 O 2.18-2.25
Mn 0.6436 0.6436 0.6436  6 O 1.88-1.98
Mn 0.5003 0.5003 0.5003  6 O 2.23-2.24
Mn 0.8567 0.8567 0.8567  6 O 1.92-2.01
Mn 0.3562 0.3562 0.3562  6 O 1.93-2.02
Co 0.1441 0.1441 0.1441  6 O 1.96-2.10
P 0.5416 0.9588 0.2490  4 O 1.51-1.58
P 0.2490 0.5416 0.9588  4 O 1.51-1.58
P 0.9588 0.2490 0.5416  4 O 1.51-1.58
P 0.0382 0.7484 0.4611  4 O 1.54-1.58
P 0.7484 0.4611 0.0382  4 O 1.54-1.58
P 0.4611 0.0382 0.7484  4 O 1.54-1.58
O 0.3000 0.5130 0.1213  1 P 1.54
O 0.1213 0.3000 0.5130  1 P 1.54
O 0.5130 0.1213 0.3000  1 P 1.54
O 0.7413 0.9395 0.0846  1 P 1.57
O 0.3848 0.9838 0.1973  1 P 1.51
O 0.5633 0.7608 0.4181  1 P 1.58
O 0.0846 0.7413 0.9395  1 P 1.57
O 0.4181 0.5633 0.7608  1 P 1.58
O 0.0078 0.8072 0.6189  1 P 1.54
O 0.7608 0.4181 0.5633  1 P 1.58
O 0.0512 0.9103 0.2665  1 P 1.54
O 0.8072 0.6189 0.0078  1 P 1.54
O 0.1973 0.3848 0.9838  1 P 1.51
O 0.9395 0.0846 0.7413  1 P 1.57
O 0.2354 0.5797 0.4491  1 P 1.58
O 0.9838 0.1973 0.3848  1 P 1.51
O 0.5797 0.4491 0.2354  1 P 1.58
O 0.9103 0.2665 0.0512  1 P 1.54
O 0.4491 0.2354 0.5797  1 P 1.58
O 0.6189 0.0078 0.8072  1 P 1.54
O 0.2665 0.0512 0.9103  1 P 1.54
O 0.5037 0.8827 0.6791  1 P 1.54
O 0.8827 0.6791 0.5037  1 P 1.54
O 0.6791 0.5037 0.8827  1 P 1.54

Results
mass density = 3.369 g/cm³
N(E_F) = 0.272 states/eV/atom
symmetry = R3
VASP energy = -7.221 eV per atom
total magnetization = 18.98 μB/f.u.